1.
# La6Pr2DyEr PBE-GGA relaxed
# ΔE_f = 0.11 eV/atom
# raw total energy = -188.66 eV for the cell shown
data_La6Pr2DyEr
_space_group_name_H-M_alt 'C 1 2/c 1'
_space_group_IT_number 15
_cell_length_a 9.909
_cell_length_b 15.400
_cell_length_c 9.315
_cell_angle_alpha 90.00
_cell_angle_beta 90.52
_cell_angle_gamma 90.00
loop_
_space_group_symop_operation_xyz
'x,y,z'
'-x,-y,-z'
'-x,y,-z+1/2'
'x,-y,z+1/2'
'x+1/2,y+1/2,z'
'-x+1/2,-y+1/2,-z'
'-x+1/2,y+1/2,-z+1/2'
'x+1/2,-y+1/2,z+1/2'
loop_
_atom_site_label
_atom_site_fract_x
_atom_site_fract_y
_atom_site_fract_z
La1 0.074 0.146 0.095
La2 0.074 0.350 0.909
La3 0.248 0.282 0.319
Pr1 0.250 0.044 0.438
Dy1 0.000 0.433 0.250
Er1 0.000 0.070 0.750

=====

2.
# La3PrDy6Er2 PBE-GGA relaxed
# ΔE_f = 0.02 eV/atom
# raw total energy = -112.10 eV for the cell shown
data_La3PrDy6Er2
_space_group_name_H-M_alt 'C 1 2/m 1'
_space_group_IT_number 12
_cell_length_a 6.241
_cell_length_b 10.812
_cell_length_c 11.905
_cell_angle_alpha 90.00
_cell_angle_beta 100.06
_cell_angle_gamma 90.00
loop_
_space_group_symop_operation_xyz
'x,y,z'
'-x,-y,-z'
'-x,y,-z'
'x,-y,z'
'x+1/2,y+1/2,z'
'-x+1/2,-y+1/2,-z'
'-x+1/2,y+1/2,-z'
'x+1/2,-y+1/2,z'
loop_
_atom_site_label
_atom_site_fract_x
_atom_site_fract_y
_atom_site_fract_z
La1 0.000 0.000 0.000
La2 0.000 0.333 0.000
Pr1 0.000 0.500 0.500
Dy1 0.247 0.000 0.746
Dy2 0.249 0.333 0.746
Er1 0.000 0.167 0.500

=====

3.
# La3PrDyEr PBE-GGA relaxed
# ΔE_f = 0.03 eV/atom
# raw total energy = -57.09 eV for the cell shown
data_La3PrDyEr
_space_group_name_H-M_alt 'P 1 21/m 1'
_space_group_IT_number 11
_cell_length_a 8.121
_cell_length_b 5.229
_cell_length_c 10.441
_cell_angle_alpha 90.00
_cell_angle_beta 108.80
_cell_angle_gamma 90.00
loop_
_space_group_symop_operation_xyz
'x,y,z'
'-x,-y,-z'
'-x,y+1/2,-z'
'x,-y+1/2,z'
loop_
_atom_site_label
_atom_site_fract_x
_atom_site_fract_y
_atom_site_fract_z
La1 0.171 0.250 0.042
La2 0.171 0.250 0.543
La3 0.173 0.750 0.293
Pr1 0.171 0.750 0.792
Dy1 0.500 0.250 0.876
Er1 0.499 0.750 0.625

=====

4.
# La3PrDy2Er6 PBE-GGA relaxed
# ΔE_f = 0.02 eV/atom
# raw total energy = -111.79 eV for the cell shown
data_La3PrDy2Er6
_space_group_name_H-M_alt 'C 1 2/m 1'
_space_group_IT_number 12
_cell_length_a 6.230
_cell_length_b 10.789
_cell_length_c 11.806
_cell_angle_alpha 90.00
_cell_angle_beta 100.11
_cell_angle_gamma 90.00
loop_
_space_group_symop_operation_xyz
'x,y,z'
'-x,-y,-z'
'-x,y,-z'
'x,-y,z'
'x+1/2,y+1/2,z'
'-x+1/2,-y+1/2,-z'
'-x+1/2,y+1/2,-z'
'x+1/2,-y+1/2,z'
loop_
_atom_site_label
_atom_site_fract_x
_atom_site_fract_y
_atom_site_fract_z
La1 0.000 0.000 0.000
La2 0.000 0.333 0.000
Pr1 0.000 0.500 0.500
Dy1 0.000 0.167 0.500
Er1 0.248 0.000 0.746
Er2 0.249 0.333 0.746

=====

5.
# La4PrDy2Er PBE-GGA relaxed
# ΔE_f = 0.09 eV/atom
# raw total energy = -37.56 eV for the cell shown
data_La4PrDy2Er
_space_group_name_H-M_alt 'P m m m'
_space_group_IT_number 47
_cell_length_a 6.015
_cell_length_b 6.016
_cell_length_c 7.703
_cell_angle_alpha 90.00
_cell_angle_beta 90.00
_cell_angle_gamma 90.00
loop_
_space_group_symop_operation_xyz
'x,y,z'
'-x,-y,-z'
'-x,-y,z'
'x,y,-z'
'x,-y,-z'
'-x,y,z'
'-x,y,-z'
'x,-y,z'
loop_
_atom_site_label
_atom_site_fract_x
_atom_site_fract_y
_atom_site_fract_z
La1 0.000 0.000 0.242
La2 0.500 0.500 0.244
Pr1 0.500 0.000 0.500
Dy1 0.000 0.500 0.000
Dy2 0.500 0.000 0.000
Er1 0.000 0.500 0.500

=====

6.
# La2Pr5DyEr PBE-GGA relaxed
# ΔE_f = 0.24 eV/atom
# raw total energy = -162.85 eV for the cell shown
data_La2Pr5DyEr
_space_group_name_H-M_alt 'I 4/m c m'
_space_group_IT_number 140
_space_group_name_Hall '-I 4 2c'
_cell_length_a 8.641
_cell_length_b 8.641
_cell_length_c 17.161
_cell_angle_alpha 90.00
_cell_angle_beta 90.00
_cell_angle_gamma 90.00
loop_
_atom_site_label
_atom_site_fract_x
_atom_site_fract_y
_atom_site_fract_z
La1 0.123 0.377 0.000
Pr1 0.000 0.000 0.000
Pr2 0.223 0.277 0.355
Dy1 0.000 0.000 0.250
Er1 0.000 0.500 0.250

=====

7.
# La2PrDyEr4 PBE-GGA relaxed
# ΔE_f = 0.02 eV/atom
# raw total energy = -74.59 eV for the cell shown
data_La2PrDyEr4
_space_group_name_H-M_alt 'P -1'
_space_group_IT_number 2
_cell_length_a 7.270
_cell_length_b 7.279
_cell_length_c 9.960
_cell_angle_alpha 89.95
_cell_angle_beta 89.96
_cell_angle_gamma 89.70
loop_
_space_group_symop_operation_xyz
'x,y,z'
'-x,-y,-z'
loop_
_atom_site_label
_atom_site_fract_x
_atom_site_fract_y
_atom_site_fract_z
La1 0.000 0.000 0.000
La2 0.000 0.000 0.500
La3 0.000 0.500 0.000
La4 0.500 0.000 0.000
Pr1 0.500 0.000 0.500
Pr2 0.500 0.500 0.000
Dy1 0.000 0.500 0.500
Dy2 0.500 0.500 0.500
Er1 0.251 0.254 0.254
Er2 0.251 0.254 0.746
Er3 0.251 0.746 0.254
Er4 0.251 0.746 0.746

=====

8.
# La2Pr4DyEr2 PBE-GGA relaxed
# ΔE_f = 0.03 eV/atom
# raw total energy = -84.91 eV for the cell shown
data_La2Pr4DyEr2
_space_group_name_H-M_alt 'C 1 2/m 1'
_space_group_IT_number 12
_cell_length_a 15.594
_cell_length_b 5.200
_cell_length_c 8.135
_cell_angle_alpha 90.00
_cell_angle_beta 108.71
_cell_angle_gamma 90.00
loop_
_space_group_symop_operation_xyz
'x,y,z'
'-x,-y,-z'
'-x,y,-z'
'x,-y,z'
'x+1/2,y+1/2,z'
'-x+1/2,-y+1/2,-z'
'-x+1/2,y+1/2,-z'
'x+1/2,-y+1/2,z'
loop_
_atom_site_label
_atom_site_fract_x
_atom_site_fract_y
_atom_site_fract_z
La1 0.111 0.000 0.172
Pr1 0.055 0.500 0.830
Pr2 0.220 0.000 0.828
Dy1 0.000 0.000 0.500
Er1 0.167 0.500 0.500

=====

9.
# La2Pr6Dy3Er PBE-GGA relaxed
# ΔE_f = 0.02 eV/atom
# raw total energy = -113.39 eV for the cell shown
data_La2Pr6Dy3Er
_space_group_name_H-M_alt 'C 1 2/m 1'
_space_group_IT_number 12
_cell_length_a 6.354
_cell_length_b 11.010
_cell_length_c 12.077
_cell_angle_alpha 90.00
_cell_angle_beta 100.13
_cell_angle_gamma 90.00
loop_
_space_group_symop_operation_xyz
'x,y,z'
'-x,-y,-z'
'-x,y,-z'
'x,-y,z'
'x+1/2,y+1/2,z'
'-x+1/2,-y+1/2,-z'
'-x+1/2,y+1/2,-z'
'x+1/2,-y+1/2,z'
loop_
_atom_site_label
_atom_site_fract_x
_atom_site_fract_y
_atom_site_fract_z
La1 0.000 0.167 0.000
Pr1 0.247 0.500 0.746
Pr2 0.250 0.166 0.746
Dy1 0.000 0.000 0.500
Dy2 0.000 0.334 0.500
Er1 0.000 0.500 0.000

=====

10.
# LaPrDy4Er2 PBE-GGA relaxed
# ΔE_f = 0.02 eV/atom
# raw total energy = -148.33 eV for the cell shown
data_LaPrDy4Er2
_space_group_name_H-M_alt 'C 1 2/m 1'
_space_group_IT_number 12
_cell_length_a 12.391
_cell_length_b 7.162
_cell_length_c 12.399
_cell_angle_alpha 90.00
_cell_angle_beta 109.43
_cell_angle_gamma 90.00
loop_
_space_group_symop_operation_xyz
'x,y,z'
'-x,-y,-z'
'-x,y,-z'
'x,-y,z'
'x+1/2,y+1/2,z'
'-x+1/2,-y+1/2,-z'
'-x+1/2,y+1/2,-z'
'x+1/2,-y+1/2,z'
loop_
_atom_site_label
_atom_site_fract_x
_atom_site_fract_y
_atom_site_fract_z
La1 0.250 0.250 0.000
Pr1 0.000 0.000 0.000
Pr2 0.000 0.000 0.500
Dy1 0.001 0.251 0.253
Dy2 0.248 0.500 0.745
Dy3 0.249 0.000 0.747
Er1 0.000 0.500 0.000
Er2 0.000 0.500 0.500
Er3 0.250 0.250 0.500

=====

11.
# La2Pr6DyEr PBE-GGA relaxed
# ΔE_f = 0.11 eV/atom
# raw total energy = -186.38 eV for the cell shown
data_La2Pr6DyEr
_space_group_name_H-M_alt 'C 1 2/c 1'
_space_group_IT_number 15
_cell_length_a 9.262
_cell_length_b 15.369
_cell_length_c 10.165
_cell_angle_alpha 90.00
_cell_angle_beta 100.35
_cell_angle_gamma 90.00
loop_
_space_group_symop_operation_xyz
'x,y,z'
'-x,-y,-z'
'-x,y,-z+1/2'
'x,-y,z+1/2'
'x+1/2,y+1/2,z'
'-x+1/2,-y+1/2,-z'
'-x+1/2,y+1/2,-z+1/2'
'x+1/2,-y+1/2,z+1/2'
loop_
_atom_site_label
_atom_site_fract_x
_atom_site_fract_y
_atom_site_fract_z
La1 0.242 0.048 0.041
Pr1 0.067 0.189 0.444
Pr2 0.103 0.399 0.621
Pr3 0.201 0.218 0.810
Dy1 0.000 0.013 0.750
Er1 0.000 0.405 0.250

=====

12.
# LaPr2DyEr2 PBE-GGA relaxed
# ΔE_f = 0.06 eV/atom
# raw total energy = -55.65 eV for the cell shown
data_LaPr2DyEr2
_space_group_name_H-M_alt 'P n n m'
_space_group_IT_number 58
_cell_length_a 7.087
_cell_length_b 9.952
_cell_length_c 5.715
_cell_angle_alpha 90.00
_cell_angle_beta 90.00
_cell_angle_gamma 90.00
loop_
_space_group_symop_operation_xyz
'x,y,z'
'-x,-y,-z'
'-x,-y,z'
'x,y,-z'
'x+1/2,-y+1/2,-z+1/2'
'-x+1/2,y+1/2,z+1/2'
'-x+1/2,y+1/2,-z+1/2'
'x+1/2,-y+1/2,z+1/2'
loop_
_atom_site_label
_atom_site_fract_x
_atom_site_fract_y
_atom_site_fract_z
La1 0.000 0.000 0.000
Pr1 0.246 0.334 0.000
Dy1 0.000 0.500 0.500
Er1 0.249 0.167 0.500

=====

Values for ρ, g cm⁻³, ordered as above
6.8; 7.8; 7.0; 8.0; 7.1; 6.8; 7.9; 7.1; 7.1; 8.1; 6.8; 7.6